First-principles (GGA-PBE) data for an optimized crystal structure of RbAlSe2, as listed in Alexandria via LeMat-Bulk.

total DFT energy (no corrections) = -32.3 eV/cell
uncorrected formation energy = -1.12 eV/atom

Structure (CIF):
```
data_RbAlSe2
_space_group_name_H-M_alt 'P 1'
_space_group_IT_number 1
_space_group_name_Hall 'P 1'
_cell_length_a 7.5358
_cell_length_b 3.9723
_cell_length_c 9.2075
_cell_angle_alpha 77.54
_cell_angle_beta 65.76
_cell_angle_gamma 90.00
loop_
_atom_site_label
_atom_site_type_symbol
_atom_site_fract_x
_atom_site_fract_y
_atom_site_fract_z
Rb1 Rb 0.2614 0.3469 0.0589
Rb2 Rb 0.5392 0.6231 0.5061
Se1 Se 0.7184 0.3035 0.1454
Se2 Se 0.1485 0.9851 0.7824
Se3 Se 0.6521 0.9850 0.7826
Se4 Se 0.0822 0.6665 0.4197
Al1 Al 0.9932 0.0778 0.5970
Al2 Al 0.8073 0.8922 0.9680
```